Record 1
Below is an optimized crystal structure of FeHN, with properties calculated at the PBE level.

a b c (Å): 3.469 8.161 3.210
angles (deg): 90.00 90.00 90.00
Sites, in units of the cell vectors:
Fe: 0.000 0.238 0.250
Fe: 0.000 0.762 0.750
Fe: 0.500 0.262 0.750
Fe: 0.500 0.738 0.250
H: 0.000 0.500 0.000
H: 0.000 0.500 0.500
H: 0.500 0.000 0.000
H: 0.500 0.000 0.500
N: 0.000 0.372 0.750
N: 0.000 0.628 0.250
N: 0.500 0.128 0.250
N: 0.500 0.872 0.750

Values from the calculation:
The calculation puts the raw total energy at -6.433 eV per atom. Its crystal system is orthorhombic. Its energy above the most stable polymorph in this dataset is 327 meV/atom.

Record 2
Below is an optimized crystal structure of Th2CuSe2N2, with properties calculated at the PBE level.

a b c (Å): 4.057 4.057 11.485
angles (deg): 90.00 90.00 120.00
Sites, in units of the cell vectors:
Th: 0.333 0.667 0.129
Th: 0.667 0.333 0.871
Cu: 0.000 0.000 0.500
Se: 0.000 0.000 0.306
Se: 0.000 0.000 0.694
N: 0.333 0.667 0.922
N: 0.667 0.333 0.078

Values from the calculation:
The calculation puts the raw total energy at -7.298 eV per atom. Its crystal system is trigonal. For the energy relative to the elements, uncorrected, the calculation gives -1218 meV per atom.

Record 3
Below is an optimized crystal structure of ReRh2W2, with properties calculated at the PBE level.

a b c (Å): 7.503 7.503 2.762
angles (deg): 90.00 90.00 90.00
Sites, in units of the cell vectors:
Re: 0.000 0.000 0.000
Re: 0.500 0.500 0.000
Rh: 0.124 0.376 0.000
Rh: 0.376 0.876 0.000
Rh: 0.624 0.124 0.000
Rh: 0.876 0.624 0.000
W: 0.174 0.674 0.500
W: 0.326 0.174 0.500
W: 0.674 0.826 0.500
W: 0.826 0.326 0.500

Values from the calculation:
The calculation puts the raw total energy at -10.424 eV per atom. Its crystal system is tetragonal. The energy of formation from the pure elements comes out at 0.188 eV/atom.

Record 4
Below is an optimized crystal structure of Pa2NbPt, with properties calculated at the PBE level.

a b c (Å): 3.046 3.046 32.423
angles (deg): 90.00 90.00 120.00
Sites, in units of the cell vectors:
Pa: 0.000 0.000 0.085
Pa: 0.000 0.000 0.915
Pa: 0.333 0.667 0.582
Pa: 0.333 0.667 0.751
Pa: 0.667 0.333 0.249
Pa: 0.667 0.333 0.418
Nb: 0.000 0.000 0.500
Nb: 0.333 0.667 0.167
Nb: 0.667 0.333 0.833
Pt: 0.000 0.000 0.000
Pt: 0.333 0.667 0.667
Pt: 0.667 0.333 0.333

Values from the calculation:
The calculation puts the raw total energy at -8.671 eV per atom. Its crystal system is trigonal. The energy of formation from the pure elements comes out at 0.105 eV/atom. Its energy above the most stable polymorph in this dataset is 342 meV/atom.

Record 5
Below is an optimized crystal structure of MgTcAu, with properties calculated at the PBE level.

a b c (Å): 6.239 6.239 6.239
angles (deg): 90.00 90.00 90.00
Sites, in units of the cell vectors:
Mg: 0.000 0.000 0.000
Mg: 0.000 0.500 0.500
Mg: 0.500 0.000 0.500
Mg: 0.500 0.500 0.000
Tc: 0.000 0.000 0.500
Tc: 0.000 0.500 0.000
Tc: 0.500 0.000 0.000
Tc: 0.500 0.500 0.500
Au: 0.250 0.250 0.250
Au: 0.250 0.750 0.750
Au: 0.750 0.250 0.750
Au: 0.750 0.750 0.250

Values from the calculation:
The calculation puts the raw total energy at -4.609 eV per atom. Its crystal system is cubic. The energy of formation from the pure elements comes out at 0.471 eV/atom. Its energy above the most stable polymorph in this dataset is 373 meV/atom.

Record 6
Below is an optimized crystal structure of Fe5Co2Rh4, with properties calculated at the PBE level.

a b c (Å): 6.412 2.622 8.466
angles (deg): 90.00 93.93 90.00
Sites, in units of the cell vectors:
Fe: 0.000 0.000 0.000
Fe: 0.076 0.000 0.292
Fe: 0.303 0.000 0.831
Fe: 0.697 0.000 0.169
Fe: 0.924 0.000 0.708
Co: 0.444 0.000 0.365
Co: 0.556 0.000 0.635
Rh: 0.210 0.500 0.558
Rh: 0.335 0.500 0.104
Rh: 0.665 0.500 0.896
Rh: 0.790 0.500 0.442

Values from the calculation:
The calculation puts the raw total energy at -7.756 eV per atom. Its crystal system is monoclinic. The energy of formation from the pure elements comes out at 0.056 eV/atom.